Material: Y3BeTc
Method: DFT, GGA-PBE
State: optimized geometry

Lattice parameters (Å, degrees): 5.2849 5.2849 5.2849 90.00 90.00 90.00
Last column: nearest neighbours and their distance in Å.
Sites, in units of the cell vectors:
1 Be 0.5000 0.5000 0.5000  12 Y 3.74
2 Y 0.0000 0.5000 0.0000  2 Tc 2.64
3 Y 0.5000 0.0000 0.0000  2 Tc 2.64
4 Y 0.0000 0.0000 0.5000  2 Tc 2.64
5 Tc 0.0000 0.0000 0.0000  6 Y 2.64

Values from the calculation:
Energy above the most stable polymorph in this dataset: 0.000 eV per atom
Formation enthalpy at 0 K: 2.88 eV per formula unit
E_tot: -0.4499 Ry per atom
Volume: 29.521 Å³/atom
Magnetization: 0.000 μB/atom